Computed, not measured: a geometry-optimized K2BiBSe structure at the PBE-GGA level of DFT.

Cell lengths 6.0279, 6.0279, 4.6669 Å; angles 90.00, 90.00, 90.00 degrees
Fractional coordinates of all 5 atoms:
K: 0.0000 0.5000 0.0000
K: 0.5000 0.0000 0.0000
Bi: 0.0000 0.0000 0.5000
B: 0.0000 0.0000 0.0000
Se: 0.5000 0.5000 0.5000

Values from the calculation:
- space-group type = No. 123
- electronic total energy (eV per atom) = -2.947
- spin magnetization (Bohr magnetons per cell) = 0.6

Computed, not measured: a geometry-optimized KBi2B2Se6 structure at the PBE-GGA level of DFT.

Cell lengths 6.7087, 7.9198, 8.1097 Å; angles 75.57, 69.29, 70.47 degrees
Fractional coordinates of all 11 atoms:
K: 0.0000 0.0000 0.0000
Bi: 0.2945 0.2767 0.3827
Bi: 0.7055 0.7233 0.6173
B: 0.2938 0.7465 0.4794
B: 0.7062 0.2535 0.5206
Se: 0.1228 0.7065 0.3461
Se: 0.2426 0.6820 0.7330
Se: 0.4461 0.1615 0.6705
Se: 0.5539 0.8385 0.3295
Se: 0.7574 0.3180 0.2670
Se: 0.8772 0.2935 0.6539

Values from the calculation:
- space-group type = No. 2
- electronic total energy (eV per atom) = -4.219
- spin magnetization (Bohr magnetons per cell) = 0.0

The following uncorrected formation energy values (in eV/atom) correspond, in order, to the records above: 0.30 -0.30.